The following is a PBE with a Hubbard U calculation of Li3Fe3WO8 after structural relaxation, from Alexandria via LeMat-Bulk.

Its crystal system is monoclinic. The uncorrected energy is -6.403 eV per atom. For the total moment, the calculation gives 13.00 μB per formula unit. As for the space group: C2/m (12).

Cell: 6.1079 6.1079 6.0748 Å, 61.36 61.36 59.95°
Closest atoms and distances in Å follow each position.
Positions (direct):
Li 0.0000 0.0000 0.0000  6 O 2.20-2.41
Li 0.5000 0.0000 0.5000  6 O 2.13-2.25
Li 0.0000 0.5000 0.5000  6 O 2.13-2.25
Fe 0.5000 0.5000 0.5000  6 O 2.01-2.12
Fe 0.0000 0.5000 0.0000  6 O 2.08-2.25
Fe 0.5000 0.0000 0.0000  6 O 2.08-2.25
W 0.0000 0.0000 0.5000  6 O 1.94-1.97
O 0.2731 0.2731 0.7469  3 Fe 2.01-2.08, 2 Li 2.25
O 0.7796 0.7796 0.7130  1 W 1.94, 2 Li 2.13
O 0.2287 0.7636 0.2799  1 W 1.97, 1 Fe 2.12, 2 Li 2.17-2.20
O 0.7269 0.7269 0.2531  3 Fe 2.01-2.08, 2 Li 2.25
O 0.7636 0.2287 0.2799  1 W 1.97, 1 Fe 2.12, 2 Li 2.17-2.20
O 0.2204 0.2204 0.2870  1 W 1.94, 2 Li 2.13
O 0.7713 0.2364 0.7201  1 W 1.97, 1 Fe 2.12, 2 Li 2.17-2.20
O 0.2364 0.7713 0.7201  1 W 1.97, 1 Fe 2.12, 2 Li 2.17-2.20

***

The following is a PBE with a Hubbard U calculation of Li4Fe3WO8 after structural relaxation, from Alexandria via LeMat-Bulk.

Its crystal system is trigonal. The value obtained for the density of states at the Fermi level is 0.0 states/eV/cell. The uncorrected energy is -6.278 eV per atom. For the total moment, the calculation gives 12.04 μB per formula unit. As for the space group: R-3m (166).

Cell: 6.0456 6.0456 6.0456 Å, 61.39 61.39 61.39°
Closest atoms and distances in Å follow each position.
Positions (direct):
Li 0.5000 0.5000 0.5000  6 O 2.35
Li 0.0000 0.0000 0.5000  6 O 2.12-2.28
Li 0.5000 0.0000 0.0000  6 O 2.12-2.28
Li 0.0000 0.5000 0.0000  6 O 2.12-2.28
Fe 0.5000 0.5000 0.0000  6 O 2.05-2.22
Fe 0.0000 0.5000 0.5000  6 O 2.05-2.22
Fe 0.5000 0.0000 0.5000  6 O 2.05-2.22
W 0.0000 0.0000 0.0000  6 O 1.98
O 0.2636 0.2636 0.2636  3 Fe 2.05, 3 Li 2.28
O 0.7713 0.7713 0.2179  1 W 1.98, 2 Li 2.12
O 0.2179 0.7713 0.7713  1 W 1.98, 2 Li 2.12
O 0.7364 0.7364 0.7364  3 Fe 2.05, 3 Li 2.28
O 0.7713 0.2179 0.7713  1 W 1.98, 2 Li 2.12
O 0.2287 0.2287 0.7821  1 W 1.98, 2 Li 2.12
O 0.7821 0.2287 0.2287  1 W 1.98, 2 Li 2.12
O 0.2287 0.7821 0.2287  1 W 1.98, 2 Li 2.12

***

The following is a PBE with a Hubbard U calculation of LiFe2WO6 after structural relaxation, from Alexandria via LeMat-Bulk.

Its crystal system is triclinic. The uncorrected energy is -6.785 eV per atom. For the total moment, the calculation gives 9.00 μB per formula unit. As for the space group: P-1 (2).

Cell: 5.1847 5.1027 8.6542 Å, 90.11 89.48 90.34°
Closest atoms and distances in Å follow each position.
Positions (direct):
Li 0.5000 0.0000 0.0000  2 O 1.84
Li 0.0000 0.5000 0.5000  2 O 1.82
Fe 0.0022 0.0023 0.2967  4 O 1.95-2.09
Fe 0.5049 0.4992 0.7977  6 O 2.05-2.25
Fe 0.9978 0.9977 0.7033  4 O 1.95-2.09
Fe 0.4951 0.5008 0.2023  6 O 2.05-2.25
W 0.5000 0.0000 0.5000  6 O 1.93-1.97
W 0.0000 0.5000 0.0000  6 O 1.91-1.99
O 0.3188 0.6885 0.9931  1 Li 1.84, 1 W 1.91
O 0.8181 0.8045 0.5020  1 Li 1.82, 1 W 1.93
O 0.6812 0.3115 0.0069  1 Li 1.84, 1 W 1.91
O 0.1819 0.1955 0.4980  1 Li 1.82, 1 W 1.93
O 0.3337 0.7851 0.3397  1 W 1.97, 2 Fe 2.05-2.09
O 0.8486 0.7349 0.8420  2 Fe 1.95-2.18, 1 W 1.99
O 0.6663 0.2149 0.6603  1 W 1.97, 2 Fe 2.05-2.09
O 0.1514 0.2651 0.1580  2 Fe 1.95-2.18, 1 W 1.99
O 0.8593 0.7314 0.1626  1 Fe 1.95, 1 W 1.97
O 0.3257 0.7871 0.6579  1 W 1.96, 2 Fe 2.05-2.13
O 0.1407 0.2686 0.8374  1 Fe 1.95, 1 W 1.97
O 0.6743 0.2129 0.3421  1 W 1.96, 2 Fe 2.05-2.13

***

The following is a PBE with a Hubbard U calculation of Li9Fe3W7O28 after structural relaxation, from Alexandria via LeMat-Bulk.

Its crystal system is trigonal. The value obtained for the density of states at the Fermi level is 0.0 states/eV/cell. The uncorrected energy is -6.733 eV per atom. For the total moment, the calculation gives 13.00 μB per formula unit. As for the space group: R3m (160).

Cell: 8.5485 8.5485 8.5485 Å, 89.74 90.26 90.26°
Closest atoms and distances in Å follow each position.
Positions (direct):
Li 0.0940 0.3603 0.6459  4 O 2.02-2.19
Li 0.0940 0.6459 0.3603  4 O 2.02-2.19
Li 0.3541 0.3603 0.9060  4 O 2.02-2.19
Li 0.3541 0.9060 0.3603  4 O 2.02-2.19
Li 0.6480 0.0887 0.3520  3 O 1.99-2.06
Li 0.6480 0.3520 0.0887  3 O 1.99-2.06
Li 0.6397 0.6459 0.9060  4 O 2.02-2.19
Li 0.6397 0.9060 0.6459  4 O 2.02-2.19
Li 0.9113 0.3520 0.3520  3 O 1.99-2.06
Fe 0.3630 0.1027 0.6370  5 O 2.06-2.19
Fe 0.3630 0.6370 0.1027  5 O 2.06-2.19
Fe 0.8973 0.6370 0.6370  5 O 2.06-2.19
W 0.9989 0.0011 0.5009  4 O 1.80-1.83
W 0.9989 0.5009 0.0011  4 O 1.80-1.83
W 0.3585 0.3584 0.3584  3 O 1.81-1.85
W 0.3554 0.6446 0.6446  3 O 1.89
W 0.4991 0.0011 0.0011  4 O 1.80-1.83
W 0.6416 0.3584 0.6415  3 O 1.81-1.85
W 0.6416 0.6415 0.3584  3 O 1.81-1.85
O 0.1492 0.3808 0.3808  1 W 1.81
O 0.1393 0.6108 0.6108  1 W 1.89, 1 Fe 2.10
O 0.1230 0.1258 0.6238  1 W 1.83, 1 Li 2.03
O 0.1230 0.6238 0.1258  1 W 1.83, 1 Li 2.03
O 0.1199 0.3797 0.8801  1 W 1.80
O 0.1199 0.8801 0.3797  1 W 1.80
O 0.3762 0.1258 0.8770  1 W 1.83, 1 Li 2.03
O 0.3762 0.8770 0.1258  1 W 1.83, 1 Li 2.03
O 0.3918 0.3839 0.6082  3 W 2.16-2.27
O 0.3918 0.6082 0.3839  3 W 2.16-2.27
O 0.3851 0.1454 0.3856  1 W 1.85
O 0.3851 0.3856 0.1454  1 W 1.85
O 0.3892 0.6108 0.8607  1 W 1.89, 1 Fe 2.10
O 0.3892 0.8607 0.6108  1 W 1.89, 1 Fe 2.10
O 0.6144 0.1454 0.6149  1 W 1.85
O 0.6144 0.6149 0.1454  1 W 1.85
O 0.6192 0.3808 0.8508  1 W 1.81
O 0.6192 0.8508 0.3808  1 W 1.81
O 0.6073 0.3927 0.3927  3 W 2.16
O 0.6161 0.6082 0.6082  3 W 2.16-2.27
O 0.6196 0.1235 0.1235  1 W 1.80, 2 Li 1.99
O 0.6203 0.8801 0.8801  1 W 1.80
O 0.8765 0.1235 0.3804  1 W 1.80, 2 Li 1.99
O 0.8765 0.3804 0.1235  1 W 1.80, 2 Li 1.99
O 0.8742 0.6238 0.8770  1 W 1.83, 1 Li 2.03
O 0.8742 0.8770 0.6238  1 W 1.83, 1 Li 2.03
O 0.8546 0.3856 0.6149  1 W 1.85
O 0.8546 0.6149 0.3856  1 W 1.85

***

The following is a PBE with a Hubbard U calculation of Li6Fe5WO12 after structural relaxation, from Alexandria via LeMat-Bulk.

Its crystal system is monoclinic. The value obtained for the density of states at the Fermi level is 0.0 states/eV/cell. The uncorrected energy is -6.178 eV per atom. For the total moment, the calculation gives 22.04 μB per formula unit. As for the space group: Cm (8).

Cell: 5.2008 5.2008 10.2772 Å, 85.77 85.77 120.37°
Closest atoms and distances in Å follow each position.
Positions (direct):
Li 0.0754 0.7214 0.7552  5 O 2.12-2.25
Li 0.2734 0.9229 0.2477  6 O 2.13-2.35
Li 0.6008 0.6008 0.2436  6 O 2.15-2.32
Li 0.3926 0.3926 0.7490  5 O 2.09-2.29
Li 0.7214 0.0754 0.7552  5 O 2.12-2.25
Li 0.9229 0.2734 0.2477  6 O 2.13-2.35
Fe 0.6648 0.3248 0.0001  6 O 2.07-2.19
Fe 0.5006 0.5006 0.4981  6 O 2.05-2.09
Fe 0.3248 0.6648 0.0001  6 O 2.07-2.19
Fe 0.8333 0.1655 0.5005  6 O 2.05-2.09
Fe 0.1655 0.8333 0.5005  6 O 2.05-2.09
W 0.0135 0.0135 0.0007  6 O 1.96-2.06
O 0.0375 0.3519 0.8769  1 W 2.04, 3 Li 2.09-2.13, 2 Fe 2.15-2.17
O 0.6529 0.9769 0.1173  1 W 2.06, 2 Fe 2.07-2.19, 3 Li 2.13-2.18
O 0.7976 0.4641 0.6130  3 Fe 2.08-2.09, 3 Li 2.16-2.29
O 0.8659 0.8659 0.3892  3 Fe 2.05-2.07, 1 Li 2.17
O 0.5363 0.2010 0.3868  3 Fe 2.07-2.09, 3 Li 2.14-2.32
O 0.7188 0.7188 0.8939  1 W 2.01, 2 Fe 2.12
O 0.2744 0.2744 0.1210  1 W 1.96, 2 Li 2.16, 2 Fe 2.19
O 0.4641 0.7976 0.6130  3 Fe 2.08-2.09, 3 Li 2.16-2.29
O 0.1340 0.1340 0.6094  3 Fe 2.05-2.06, 1 Li 2.10
O 0.2010 0.5363 0.3868  3 Fe 2.07-2.09, 3 Li 2.14-2.32
O 0.3519 0.0375 0.8769  1 W 2.04, 3 Li 2.09-2.13, 2 Fe 2.15-2.17
O 0.9769 0.6529 0.1173  1 W 2.06, 2 Fe 2.07-2.19, 3 Li 2.13-2.18

***

The following is a PBE with a Hubbard U calculation of LiYFeO2 after structural relaxation, from Alexandria via LeMat-Bulk.

Its crystal system is tetragonal. The value obtained for the density of states at the Fermi level is 1.6 states/eV/cell. The uncorrected energy is -4.782 eV per atom. For the total moment, the calculation gives 2.01 μB per formula unit. As for the space group: P4/mmm (123).

Cell: 4.1631 4.4078 4.1631 Å, 90.00 90.00 90.00°
Closest atoms and distances in Å follow each position.
Positions (direct):
Y 0.0000 0.5000 0.0000  2 Fe 2.20
Fe 0.0000 0.0000 0.0000  4 O 2.08, 2 Y 2.20
O 0.0000 0.0000 0.5000  2 Fe 2.08
O 0.5000 0.0000 0.0000  2 Fe 2.08
Li 0.5000 0.5000 0.5000  4 Y 2.94, 8 O 3.03